CdP2HPd | Alexandria | GGA-PBE | optimized geometry; total DFT energy (no corrections) = -0.1337 Ha/atom; magnetization = 0.00 μB per formula unit
1.0
-0.7023 -0.2824 -4.3072
-3.4203 -1.4130 0.6504
-1.6686 4.0423 0.0071
P Cd Pd H
2 1 1 1
Direct
0.5000 0.0000 0.0000 P
0.0000 0.0000 0.5000 P
0.5000 0.5000 0.5000 Cd
0.0000 0.5000 0.0000 Pd
0.0000 0.0000 0.0000 H

***

Cd8InHg5 | Alexandria | GGA-PBE | optimized geometry; total DFT energy (no corrections) = -0.0294 Ha/atom; magnetization = 0.00 μB per formula unit
1.0
-0.1871 4.7809 -5.9852
0.7751 -7.1977 -2.5113
-6.5154 0.6208 3.9848
Cd Hg In
8 5 1
Direct
0.6236 0.9200 0.8730 Cd
0.4667 0.5846 0.2157 Cd
0.6311 0.4154 0.8821 Cd
0.9531 0.0800 0.7037 Cd
0.1179 0.7490 0.5333 Cd
0.7843 0.2510 0.3689 Cd
0.2963 0.2494 0.3764 Cd
0.1270 0.7506 0.0469 Cd
0.3666 0.1202 0.9932 Hg
0.7536 0.6266 0.6334 Hg
0.5000 0.0000 0.5000 Hg
0.0068 0.3734 0.1270 Hg
0.8730 0.8798 0.2464 Hg
0.2500 0.5000 0.7500 In

***

Cs6KCd8 | Alexandria | GGA-PBE | optimized geometry; total DFT energy (no corrections) = -0.0324 Ha/atom; magnetization = 0.00 μB per formula unit
1.0
7.9746 -5.3818 0.1875
7.9746 5.3818 0.1875
4.1427 0.0000 8.6851
Cs Cd K
6 8 1
Direct
0.1443 0.4201 0.6464 Cs
0.8557 0.5799 0.3536 Cs
0.6464 0.1443 0.4201 Cs
0.3536 0.8557 0.5799 Cs
0.5799 0.3536 0.8557 Cs
0.4201 0.6464 0.1443 Cs
0.8243 0.8243 0.8243 Cd
0.1198 0.5880 0.9561 Cd
0.4120 0.0439 0.8802 Cd
0.9561 0.1198 0.5880 Cd
0.5880 0.9561 0.1198 Cd
0.0439 0.8802 0.4120 Cd
0.8802 0.4120 0.0439 Cd
0.1757 0.1757 0.1757 Cd
0.0000 0.0000 0.0000 K